# 1
# YOs3I | Alexandria via LeMat-Bulk | PBE | relaxed
# - Raw formation energy: 1.88 eV per atom
# - Relative energy among the computed polymorphs: 0.00 eV/f.u.
data_YOs3I
_chemical_formula_sum 'Y1 Os3 I1'
_cell_length_a 4.830
_cell_length_b 4.830
_cell_length_c 4.830
_cell_angle_alpha 90.00
_cell_angle_beta 90.00
_cell_angle_gamma 90.00
_space_group_name_H-M_alt 'P m -3 m'
_space_group_IT_number 221
_space_group_name_Hall '-P 4 2 3'
loop_
_atom_site_label
_atom_site_fract_x
_atom_site_fract_y
_atom_site_fract_z
Y1 0.000 0.000 0.000
Os1 0.000 0.500 0.500
I1 0.500 0.500 0.500


# 2
# Ac2NdGd | Alexandria via LeMat-Bulk | PBE | relaxed
# - Relative energy among the computed polymorphs: 0.30 eV/f.u.
# - ΔE_f: 101 meV/atom
data_Ac2NdGd
_chemical_formula_sum 'Ac8 Nd4 Gd4'
_cell_length_a 8.559
_cell_length_b 8.559
_cell_length_c 8.559
_cell_angle_alpha 90.00
_cell_angle_beta 90.00
_cell_angle_gamma 90.00
_space_group_name_H-M_alt 'F m -3 m'
_space_group_IT_number 225
_space_group_name_Hall '-F 4 2 3'
loop_
_atom_site_label
_atom_site_fract_x
_atom_site_fract_y
_atom_site_fract_z
Ac1 0.250 0.250 0.250
Nd1 0.000 0.000 0.000
Gd1 0.000 0.000 0.500


# 3
# ZrTe | Alexandria via LeMat-Bulk | PBE | relaxed
# - Raw formation energy: -0.45 eV per atom
data_ZrTe
_chemical_formula_sum 'Zr6 Te6'
_cell_length_a 3.7622
_cell_length_b 3.7622
_cell_length_c 27.4254
_cell_angle_alpha 90.00
_cell_angle_beta 90.00
_cell_angle_gamma 120.00
_space_group_name_H-M_alt 'R -3 m'
_space_group_IT_number 166
_space_group_name_Hall '-R 3 2"'
loop_
_atom_site_label
_atom_site_fract_x
_atom_site_fract_y
_atom_site_fract_z
Zr1 0.0000 0.0000 0.1239
Te1 0.0000 0.0000 0.3895


# 4
# Tb5OsAu2 | Alexandria via LeMat-Bulk | PBE | relaxed
# - ΔE_f: -541 meV/atom
data_Tb5OsAu2
_chemical_formula_sum 'Tb10 Os2 Au4'
_cell_length_a 7.520
_cell_length_b 11.843
_cell_length_c 4.623
_cell_angle_alpha 90.00
_cell_angle_beta 90.00
_cell_angle_gamma 90.00
_space_group_name_H-M_alt 'P b a m'
_space_group_IT_number 55
loop_
_space_group_symop_operation_xyz
'x,y,z'
'-x,-y,-z'
'-x,-y,z'
'x,y,-z'
'x+1/2,-y+1/2,-z'
'-x+1/2,y+1/2,z'
'-x+1/2,y+1/2,-z'
'x+1/2,-y+1/2,z'
loop_
_atom_site_label
_atom_site_fract_x
_atom_site_fract_y
_atom_site_fract_z
Tb1 0.000 0.000 0.000
Tb2 0.155 0.295 0.000
Tb3 0.180 0.582 0.500
Os1 0.000 0.500 0.000
Au1 0.064 0.834 0.500


# 5
# Dy2Si4Ni3Rh | Alexandria via LeMat-Bulk | PBE | relaxed
# - Raw formation energy: -0.91 eV per atom
data_Dy2Si4Ni3Rh
_chemical_formula_sum 'Dy2 Si4 Ni3 Rh1'
_cell_length_a 3.964
_cell_length_b 3.964
_cell_length_c 9.698
_cell_angle_alpha 90.00
_cell_angle_beta 90.00
_cell_angle_gamma 90.00
_space_group_name_H-M_alt 'P -4 m 2'
_space_group_IT_number 115
loop_
_space_group_symop_operation_xyz
'x,y,z'
'y,-x,-z'
'-x,-y,z'
'-y,x,-z'
'-x,y,z'
'-y,-x,-z'
'x,-y,z'
'y,x,-z'
loop_
_atom_site_label
_atom_site_fract_x
_atom_site_fract_y
_atom_site_fract_z
Dy1 0.000 0.500 0.242
Si1 0.000 0.000 0.000
Si2 0.000 0.500 0.638
Si3 0.500 0.500 0.000
Ni1 0.000 0.500 0.876
Ni2 0.500 0.500 0.500
Rh1 0.000 0.000 0.500


# 6
# Y2CoNiC | Alexandria via LeMat-Bulk | PBE | relaxed
# - Relative energy among the computed polymorphs: 0.00 eV/f.u.
# - ΔE_f: -307 meV/atom
data_Y2CoNiC
_chemical_formula_sum 'Y2 Co1 Ni1 C1'
_cell_length_a 4.928
_cell_length_b 4.928
_cell_length_c 3.571
_cell_angle_alpha 90.00
_cell_angle_beta 90.00
_cell_angle_gamma 90.00
_space_group_name_H-M_alt 'P 4/m m m'
_space_group_IT_number 123
_space_group_name_Hall '-P 4 2'
loop_
_atom_site_label
_atom_site_fract_x
_atom_site_fract_y
_atom_site_fract_z
Y1 0.000 0.500 0.000
Co1 0.000 0.000 0.500
Ni1 0.500 0.500 0.500
C1 0.000 0.000 0.000


# 7
# Ho2TmZr | Alexandria via LeMat-Bulk | PBE | relaxed
# - Relative energy among the computed polymorphs: 0.39 eV/f.u.
# - ΔE_f: 166 meV/atom
data_Ho2TmZr
_chemical_formula_sum 'Ho2 Tm1 Zr1'
_cell_length_a 4.000
_cell_length_b 4.000
_cell_length_c 7.119
_cell_angle_alpha 90.00
_cell_angle_beta 90.00
_cell_angle_gamma 90.00
_space_group_name_H-M_alt 'P 4/m m m'
_space_group_IT_number 123
_space_group_name_Hall '-P 4 2'
loop_
_atom_site_label
_atom_site_fract_x
_atom_site_fract_y
_atom_site_fract_z
Ho1 0.000 0.000 0.229
Tm1 0.500 0.500 0.500
Zr1 0.500 0.500 0.000


# 8
# Zr4UH10 | Alexandria via LeMat-Bulk | PBE | relaxed
# - Final energy: -172.4 eV per cell
data_Zr4UH10
_chemical_formula_sum 'Zr8 U2 H20'
_cell_length_a 11.167
_cell_length_b 4.657
_cell_length_c 7.886
_cell_angle_alpha 90.00
_cell_angle_beta 134.71
_cell_angle_gamma 90.00
_space_group_name_H-M_alt 'C 1 2/m 1'
_space_group_IT_number 12
loop_
_space_group_symop_operation_xyz
'x,y,z'
'-x,-y,-z'
'-x,y,-z'
'x,-y,z'
'x+1/2,y+1/2,z'
'-x+1/2,-y+1/2,-z'
'-x+1/2,y+1/2,-z'
'x+1/2,-y+1/2,z'
loop_
_atom_site_label
_atom_site_fract_x
_atom_site_fract_y
_atom_site_fract_z
Zr1 0.098 0.000 0.297
Zr2 0.199 0.500 0.101
U1 0.000 0.500 0.500
H1 0.000 0.250 0.000
H2 0.107 0.241 0.816
H3 0.210 0.241 0.603


Here are the calculated total magnetization numbers, same order: 0.00, 31.49, 0.00, 0.00, 0.00, 0.00, 0.00, 6.22 (μB per cell).